First-principles (PBE) data for an optimized crystal structure of FeCo2Mo, as listed in Alexandria via LeMat-Bulk.

Computed properties:
Energy relative to the lowest polymorph listed for this composition (eV per formula unit): 1.33
Space group: No. 225

Lattice parameters (Å, degrees): 4.0853 4.0853 4.0853 60.00 60.00 60.00
Closest atoms and distances in Å follow each position.
Element x y z (fractional)
Mo: 0.5000 0.5000 0.5000  8 Co 2.50
Co: 0.2500 0.2500 0.2500  4 Mo 2.50, 4 Fe 2.50
Co: 0.7500 0.7500 0.7500  4 Fe 2.50, 4 Mo 2.50
Fe: 0.0000 0.0000 0.0000  8 Co 2.50


First-principles (PBE) data for an optimized crystal structure of LiCu2P, as listed in Alexandria via LeMat-Bulk.

Computed properties:
Raw total energy (eV/atom): -4.0706
Space group: No. 123

Lattice parameters (Å, degrees): 3.6845 3.6846 3.5291 90.00 90.00 90.00
Closest atoms and distances in Å follow each position.
Element x y z (fractional)
Cu: 0.0000 0.0000 0.0000  4 Li 2.55, 4 P 2.55, 4 Cu 2.61
Cu: 0.5000 0.5000 0.0000  4 P 2.55, 4 Li 2.55, 4 Cu 2.61
Li: 0.5000 0.0000 0.5000  8 Cu 2.55, 4 P 2.61
P: 0.0000 0.5000 0.5000  8 Cu 2.55, 4 Li 2.61


First-principles (PBE) data for an optimized crystal structure of KNa5Te3, as listed in Alexandria via LeMat-Bulk.

Computed properties:
E_form (uncorrected) (eV/atom): -0.91
Space group: No. 63

Lattice parameters (Å, degrees): 5.0494 8.9409 14.1308 90.00 90.00 106.40
Closest atoms and distances in Å follow each position.
Element x y z (fractional)
K: 0.8687 0.7374 0.7500  5 Te 3.70-3.72
K: 0.1313 0.2626 0.2500  5 Te 3.70-3.72
Na: 0.8063 0.6126 0.4333  4 Te 3.10-3.28, 1 Na 3.45
Na: 0.1937 0.3874 0.9333  4 Te 3.10-3.28, 1 Na 3.45
Na: 0.0000 0.0000 0.5000  6 Na 3.28-3.45, 4 Te 3.42
Na: 0.0000 0.0000 0.0000  6 Na 3.28-3.45, 4 Te 3.42
Na: 0.4547 0.9095 0.1371  4 Te 3.06-3.15, 3 Na 3.19-3.28
Na: 0.5453 0.0905 0.8629  4 Te 3.06-3.15, 3 Na 3.19-3.28
Na: 0.5453 0.0905 0.6371  4 Te 3.06-3.15, 3 Na 3.19-3.28
Na: 0.8063 0.6126 0.0667  4 Te 3.10-3.28, 1 Na 3.45
Na: 0.1937 0.3874 0.5667  4 Te 3.10-3.28, 1 Na 3.45
Na: 0.4547 0.9095 0.3629  4 Te 3.06-3.15, 3 Na 3.19-3.28
Te: 0.3741 0.7482 0.9430  7 Na 3.07-3.42
Te: 0.9156 0.8312 0.2500  6 Na 3.06-3.20
Te: 0.3741 0.7482 0.5570  7 Na 3.07-3.42
Te: 0.6259 0.2518 0.4430  7 Na 3.07-3.42
Te: 0.0844 0.1688 0.7500  6 Na 3.06-3.20
Te: 0.6259 0.2518 0.0570  7 Na 3.07-3.42


First-principles (PBE) data for an optimized crystal structure of CaZr2Zn3, as listed in Alexandria via LeMat-Bulk.

Computed properties:
Raw total energy (eV/atom): -4.0493
Space group: No. 123

Lattice parameters (Å, degrees): 3.4436 3.4436 10.2875 90.00 90.00 90.00
Closest atoms and distances in Å follow each position.
Element x y z (fractional)
Ca: 0.5000 0.5000 0.5000  8 Zn 3.16, 4 Ca 3.44, 2 Zr 3.51
Zr: 0.5000 0.5000 0.8415  8 Zn 2.86-2.93
Zr: 0.5000 0.5000 0.1585  8 Zn 2.86-2.93
Zn: 0.0000 0.0000 0.0000  8 Zr 2.93, 2 Zn 3.13
Zn: 0.0000 0.0000 0.6961  4 Zr 2.86, 1 Zn 3.13, 4 Ca 3.16
Zn: 0.0000 0.0000 0.3039  4 Zr 2.86, 1 Zn 3.13, 4 Ca 3.16


First-principles (PBE) data for an optimized crystal structure of La8TbHo2, as listed in Alexandria via LeMat-Bulk.

Computed properties:
Energy relative to the lowest polymorph listed for this composition (eV per formula unit): 1.14
Space group: No. 12

Lattice parameters (Å, degrees): 6.0813 9.2642 9.6047 61.17 74.36 56.02
Closest atoms and distances in Å follow each position.
Element x y z (fractional)
La: 0.8163 0.0957 0.2388  3 La 3.30-3.65, 2 Ho 3.59-3.62
La: 0.8163 0.3345 0.7612  3 La 3.30-3.65, 2 Ho 3.59-3.62
La: 0.2983 0.4205 0.0000  3 La 3.06-3.30, 1 Tb 3.37
La: 0.5000 0.7944 0.4113  1 Tb 3.46, 2 Ho 3.52, 6 La 3.70-3.76
La: 0.5000 0.2056 0.5887  1 Tb 3.46, 2 Ho 3.52, 6 La 3.70-3.76
La: 0.7017 0.5795 0.0000  3 La 3.06-3.30, 1 Tb 3.37
La: 0.1837 0.6655 0.2388  3 La 3.30-3.65, 2 Ho 3.59-3.62
La: 0.1837 0.9043 0.7612  3 La 3.30-3.65, 2 Ho 3.59-3.62
Tb: 0.5000 0.0000 0.0000  4 La 3.37-3.46
Ho: 0.0000 0.3111 0.3777  10 La 3.52-3.88
Ho: 0.0000 0.6889 0.6222  10 La 3.52-3.88


First-principles (PBE) data for an optimized crystal structure of PmSmCuSe4, as listed in Alexandria via LeMat-Bulk.

Computed properties:
E_form (uncorrected) (eV/atom): -1.37
Space group: No. 11

Lattice parameters (Å, degrees): 7.1361 5.8482 8.2714 90.00 106.84 90.00
Closest atoms and distances in Å follow each position.
Element x y z (fractional)
Pm: 0.7315 0.7500 0.4329  8 Se 2.97-3.17, 1 Cu 3.19
Pm: 0.2685 0.2500 0.5671  8 Se 2.97-3.17, 1 Cu 3.19
Sm: 0.7381 0.7500 0.9336  8 Se 2.93-3.13
Sm: 0.2619 0.2500 0.0664  8 Se 2.93-3.13
Cu: 0.2651 0.7500 0.3164  4 Se 2.38-2.43
Cu: 0.7349 0.2500 0.6836  4 Se 2.38-2.43
Se: 0.0124 0.5088 0.7551  1 Cu 2.43
Se: 0.9876 0.0088 0.2449  1 Cu 2.43
Se: 0.9876 0.4912 0.2449  1 Cu 2.43
Se: 0.0124 0.9912 0.7551  1 Cu 2.43
Se: 0.4262 0.7500 0.1007  1 Cu 2.39
Se: 0.5738 0.2500 0.8993  1 Cu 2.39
Se: 0.4257 0.7500 0.6125  1 Cu 2.38
Se: 0.5743 0.2500 0.3875  1 Cu 2.38